{
  "formula": "Sm4Zn3Pd",
  "functional": "PBE",
  "state": "optimized geometry",
  "lattice_angstrom": [[3.6522, 0.0000, 0.0000], [0.0000, 3.6522, 0.0000], [0.0000, 0.0000, 14.2998]],
  "species": ["Sm", "Sm", "Sm", "Sm", "Zn", "Zn", "Zn", "Pd"],
  "fractional_positions": [[0.0000, 0.0000, 0.1204], [0.0000, 0.0000, 0.3742], [0.0000, 0.0000, 0.6258], [0.0000, 0.0000, 0.8796], [0.5000, 0.5000, 0.2498], [0.5000, 0.5000, 0.5000], [0.5000, 0.5000, 0.7502], [0.5000, 0.5000, 0.0000]],
  "magnetic_moment_mub_per_atom": 0.00,
  "de_polymorph_ev_per_fu": 0.00,
  "formation_energy_ev_per_atom": -0.45,
  "final_energy_ev_per_cell": -31.46
}

{
  "formula": "Sm3ZnPd4",
  "functional": "PBE",
  "state": "optimized geometry",
  "lattice_angstrom": [[-2.0158, 3.2065, 7.2476], [2.0158, -3.2065, 7.2476], [2.0158, 3.2065, -7.2476]],
  "species": ["Sm", "Sm", "Sm", "Zn", "Pd", "Pd", "Pd", "Pd"],
  "fractional_positions": [[0.0000, 0.0000, 0.0000], [0.3084, 0.8084, 0.5000], [0.6916, 0.1916, 0.5000], [0.5000, 0.5000, 0.0000], [0.0905, 0.3788, 0.7117], [0.3329, 0.6212, 0.7117], [0.6671, 0.3788, 0.2883], [0.9095, 0.6212, 0.2883]],
  "magnetic_moment_mub_per_atom": 0.00,
  "formation_energy_ev_per_atom": -0.66,
  "final_energy_ev_per_cell": -41.48
}

{
  "formula": "SmZn3Pd3",
  "functional": "PBE",
  "state": "optimized geometry",
  "lattice_angstrom": [[0.0000, 5.8782, 5.8782], [5.8782, 0.0000, 5.8782], [5.8782, 5.8782, 0.0000]],
  "species": ["Sm", "Sm", "Zn", "Zn", "Zn", "Zn", "Zn", "Zn", "Pd", "Pd", "Pd", "Pd", "Pd", "Pd"],
  "fractional_positions": [[0.2500, 0.2500, 0.2500], [0.7500, 0.7500, 0.7500], [0.1494, 0.1494, 0.8506], [0.1494, 0.8506, 0.1494], [0.1494, 0.8506, 0.8506], [0.8506, 0.1494, 0.1494], [0.8506, 0.1494, 0.8506], [0.8506, 0.8506, 0.1494], [0.3417, 0.3417, 0.6583], [0.3417, 0.6583, 0.3417], [0.3417, 0.6583, 0.6583], [0.6583, 0.3417, 0.3417], [0.6583, 0.3417, 0.6583], [0.6583, 0.6583, 0.3417]],
  "magnetic_moment_mub_per_atom": 0.00,
  "de_polymorph_ev_per_fu": 5.13,
  "formation_energy_ev_per_atom": 0.66,
  "final_energy_ev_per_cell": -39.01
}

{
  "formula": "Sm2ZnPd9",
  "functional": "PBE",
  "state": "optimized geometry",
  "lattice_angstrom": [[4.1514, 0.0000, 0.0000], [0.0000, 4.1514, 0.0000], [0.0000, 0.0000, 11.9223]],
  "species": ["Sm", "Sm", "Zn", "Pd", "Pd", "Pd", "Pd", "Pd", "Pd", "Pd", "Pd", "Pd"],
  "fractional_positions": [[0.0000, 0.0000, 0.1771], [0.0000, 0.0000, 0.8229], [0.0000, 0.0000, 0.5000], [0.0000, 0.5000, 0.0000], [0.0000, 0.5000, 0.3509], [0.0000, 0.5000, 0.6491], [0.5000, 0.0000, 0.0000], [0.5000, 0.0000, 0.3509], [0.5000, 0.0000, 0.6491], [0.5000, 0.5000, 0.1739], [0.5000, 0.5000, 0.5000], [0.5000, 0.5000, 0.8261]],
  "magnetic_moment_mub_per_atom": 0.00,
  "formation_energy_ev_per_atom": -0.63,
  "final_energy_ev_per_cell": -64.97
}